No. 1
The following is a DFT calculation (PBE) of an optimized crystal structure of AcAuF.

Values from the calculation:
Raw total energy = -5.322 eV/atom
ΔE to the lowest computed polymorph = 0.000 eV per atom
Calculated density = 10.64 g/cm3
Formation energy without anion corrections = -6.71 eV per formula unit

a b c (Å): 4.1561 4.2838 8.0393
angles (deg): 90.00 105.07 90.00
With the nearest neighbours (Å) after each atom.
Space group P2_1/m (No. 11)
Symmetry-distinct sites (fractional):
1 Ac 0.1425 0.2500 0.2858  4 F 2.68-2.69
2 Au 0.4438 0.2500 0.8863  2 Au 2.78
3 F 0.2478 0.7500 0.4956  4 Ac 2.68-2.69, 4 F 2.98-2.99

No. 2
The following is a DFT calculation (PBE) of an optimized crystal structure of SrAs3N.

Values from the calculation:
Raw total energy = -4.538 eV/atom
ΔE to the lowest computed polymorph = 0.000 eV per atom
Calculated density = 5.62 g/cm3
Formation energy without anion corrections = 1.27 eV per formula unit

a b c (Å): 4.5851 4.5851 4.5851
angles (deg): 90.00 90.00 90.00
With the nearest neighbours (Å) after each atom.
Space group Pm-3m (No. 221)
Symmetry-distinct sites (fractional):
1 Sr 0.0000 0.0000 0.0000  12 As 3.24
2 As 0.0000 0.5000 0.5000  2 N 2.29
3 N 0.5000 0.5000 0.5000  6 As 2.29

No. 3
The following is a DFT calculation (PBE) of an optimized crystal structure of NaGa2PF.

Values from the calculation:
Raw total energy = -3.113 eV/atom
Calculated density = 3.41 g/cm3
Formation energy without anion corrections = -0.91 eV per formula unit

a b c (Å): 4.7943 4.7943 4.5034
angles (deg): 90.00 90.00 90.00
With the nearest neighbours (Å) after each atom.
Space group P4/mmm (No. 123)
Symmetry-distinct sites (fractional):
1 Na 0.0000 0.0000 0.0000  8 Ga 3.29, 4 P 3.39
2 Ga 0.0000 0.5000 0.5000  2 F 2.40
3 P 0.5000 0.5000 0.0000  2 F 2.25
4 F 0.5000 0.5000 0.5000  2 P 2.25, 4 Ga 2.40

No. 4
The following is a DFT calculation (PBE) of an optimized crystal structure of Tl3Ag12S5.

Values from the calculation:
Raw total energy = -2.961 eV/atom
Calculated density = 7.20 g/cm3
Formation energy without anion corrections = 2.73 eV per formula unit

a b c (Å): 15.6225 15.6225 15.6225
angles (deg): 90.00 90.00 90.00
With the nearest neighbours (Å) after each atom.
Space group Ia-3d (No. 230)
Symmetry-distinct sites (fractional):
1 Tl 0.0000 0.2500 0.1250  4 Ag 2.84
2 Ag 0.0391 0.0734 0.6400  2 S 2.46-2.54
3 S 0.0000 0.0000 0.0000  6 Ag 2.54
4 S 0.0000 0.2500 0.3750  4 Ag 2.46

No. 5
The following is a DFT calculation (PBE) of an optimized crystal structure of Nd2HoCo.

Values from the calculation:
Raw total energy = -5.061 eV/atom
ΔE to the lowest computed polymorph = 0.335 eV per atom
Calculated density = 7.05 g/cm3
Formation enthalpy at 0 K = 0.244 eV/atom

a b c (Å): 3.6493 3.6493 31.3983
angles (deg): 90.00 90.00 120.00
With the nearest neighbours (Å) after each atom.
Space group R-3m (No. 166, hexagonal axes)
Symmetry-distinct sites (fractional):
1 Nd 0.0000 0.0000 0.1117  3 Co 2.72
2 Ho 0.0000 0.0000 0.0000  2 Nd 3.51, 6 Ho 3.65
3 Co 0.0000 0.0000 0.5000  6 Nd 2.72